No. 1
{
  "formula": "NaPmAlSn",
  "functional": "PBE",
  "state": "relaxed",
  "dft_energy_ev_per_cell": -14.61,
  "dos_ef_per_ev_atom": 0.62,
  "space_group": "F-43m",
  "lattice": [[-4.506, -2.602, -0.870], [0.080, -5.208, -0.833], [-1.897, -3.287, 3.664]],
  "species": ["Sn", "Pm", "Al", "Na"],
  "fractional_positions": [[0.250, 0.250, 0.250], [0.000, 0.000, 0.000], [0.750, 0.750, 0.750], [0.500, 0.500, 0.500]]
}

No. 2
{
  "formula": "NaSrPmAl",
  "functional": "PBE",
  "state": "relaxed",
  "dft_energy_ev_per_cell": -11.44,
  "dos_ef_per_ev_atom": 1.02,
  "space_group": "F-43m",
  "lattice": [[-2.361, -4.827, 1.611], [1.862, -4.865, -2.081], [2.840, -3.552, 3.284]],
  "species": ["Sr", "Pm", "Al", "Na"],
  "fractional_positions": [[0.250, 0.250, 0.250], [0.750, 0.750, 0.750], [0.500, 0.500, 0.500], [0.000, 0.000, 0.000]]
}

No. 3
{
  "formula": "NaPmTmAl",
  "functional": "PBE",
  "state": "relaxed",
  "dft_energy_ev_per_cell": -14.42,
  "dos_ef_per_ev_atom": 1.03,
  "space_group": "F-43m",
  "lattice": [[-5.271, 0.369, -0.576], [-2.941, -4.406, -0.434], [-3.216, -1.451, 3.976]],
  "species": ["Al", "Na", "Tm", "Pm"],
  "fractional_positions": [[0.500, 0.500, 0.500], [0.000, 0.000, 0.000], [0.250, 0.250, 0.250], [0.750, 0.750, 0.750]]
}

No. 4
{
  "formula": "Na2PrAl9",
  "functional": "PBE",
  "state": "relaxed",
  "dft_energy_ev_per_cell": -42.26,
  "dos_ef_per_ev_atom": 0.48,
  "space_group": "R-3m",
  "lattice": [[-3.380, 2.650, 3.626], [-3.745, -2.924, 3.003], [3.693, -1.213, 8.685]],
  "species": ["Al", "Al", "Al", "Al", "Al", "Na", "Al", "Al", "Al", "Na", "Al", "Pr"],
  "fractional_positions": [[0.665, 0.665, 0.004], [0.335, 0.335, 0.996], [0.077, 0.585, 0.753], [0.415, 0.923, 0.247], [0.415, 0.415, 0.247], [0.856, 0.856, 0.431], [0.585, 0.585, 0.753], [0.923, 0.415, 0.247], [0.500, 0.500, 0.500], [0.144, 0.144, 0.569], [0.585, 0.077, 0.753], [0.000, 0.000, 0.000]]
}

No. 5
{
  "formula": "Na2PrAlSe4",
  "functional": "PBE",
  "state": "relaxed",
  "dft_energy_ev_per_cell": -70.17,
  "formation_energy_uncorrected_mev_per_atom": -1248.2,
  "space_group": "Imma",
  "lattice": [[8.284, -0.018, -0.271], [-0.024, 8.284, -0.271], [-4.263, -4.266, 6.115]],
  "species": ["Se", "Na", "Se", "Na", "Na", "Al", "Se", "Se", "Al", "Se", "Na", "Pr", "Se", "Se", "Pr", "Se"],
  "fractional_positions": [[0.762, 0.232, 0.997], [0.500, 0.000, 0.000], [0.238, 0.768, 0.003], [0.500, 0.000, 0.500], [0.000, 0.000, 0.500], [0.500, 0.500, 0.500], [0.747, 0.753, 0.544], [0.732, 0.262, 0.497], [0.000, 0.000, 0.000], [0.268, 0.738, 0.503], [0.500, 0.500, 0.000], [0.000, 0.500, 0.000], [0.253, 0.247, 0.456], [0.253, 0.247, 0.044], [0.000, 0.500, 0.500], [0.747, 0.753, 0.956]]
}

No. 6
{
  "formula": "NaPr2AlSe5",
  "functional": "PBE",
  "state": "relaxed",
  "dft_energy_ev_per_cell": -90.78,
  "formation_energy_uncorrected_mev_per_atom": -1482.8,
  "space_group": "Cmc2_1",
  "lattice": [[4.077, 0.000, 0.000], [-2.038, 9.157, 0.000], [0.000, 0.000, 12.238]],
  "species": ["Pr", "Se", "Se", "Pr", "Al", "Se", "Na", "Se", "Se", "Se", "Pr", "Pr", "Se", "Se", "Se", "Al", "Na", "Se"],
  "fractional_positions": [[0.884, 0.767, 0.183], [0.638, 0.276, 0.503], [0.711, 0.423, 0.185], [0.116, 0.233, 0.683], [0.560, 0.119, 0.945], [0.505, 0.011, 0.275], [0.207, 0.415, 0.017], [0.675, 0.350, 0.850], [0.958, 0.917, 0.555], [0.289, 0.577, 0.685], [0.133, 0.266, 0.311], [0.867, 0.734, 0.811], [0.362, 0.724, 0.003], [0.042, 0.083, 0.055], [0.325, 0.650, 0.350], [0.440, 0.881, 0.445], [0.793, 0.585, 0.517], [0.495, 0.989, 0.775]]
}

No. 7
{
  "formula": "Na2PrAlSn2",
  "functional": "PBE",
  "state": "relaxed",
  "dft_energy_ev_per_cell": -42.80,
  "dos_ef_per_ev_atom": 0.16,
  "space_group": "Pmc2_1",
  "lattice": [[-0.130, 2.036, -4.156], [-2.150, -6.782, -3.255], [-8.897, 2.175, 1.343]],
  "species": ["Pr", "Pr", "Sn", "Sn", "Al", "Sn", "Na", "Na", "Na", "Al", "Na", "Sn"],
  "fractional_positions": [[0.000, 0.998, 0.450], [0.000, 0.498, 0.550], [0.000, 0.738, 0.177], [0.500, 0.284, 0.375], [0.500, 0.159, 0.668], [0.500, 0.784, 0.625], [0.000, 0.842, 0.847], [0.500, 0.025, 0.082], [0.500, 0.525, 0.918], [0.500, 0.659, 0.332], [0.000, 0.342, 0.153], [0.000, 0.238, 0.823]]
}

No. 8
{
  "formula": "NaSrPrAl",
  "functional": "PBE",
  "state": "relaxed",
  "dft_energy_ev_per_cell": -11.53,
  "dos_ef_per_ev_atom": 0.99,
  "space_group": "F-43m",
  "lattice": [[5.646, 0.000, 0.000], [2.823, 4.889, 0.000], [2.823, 1.630, 4.610]],
  "species": ["Pr", "Na", "Al", "Sr"],
  "fractional_positions": [[0.250, 0.250, 0.250], [0.000, 0.000, 0.000], [0.500, 0.500, 0.500], [0.750, 0.750, 0.750]]
}

No. 9
{
  "formula": "NaTbPrAl",
  "functional": "PBE",
  "state": "relaxed",
  "dft_energy_ev_per_cell": -14.66,
  "dos_ef_per_ev_atom": 1.19,
  "space_group": "F-43m",
  "lattice": [[5.391, 0.000, 0.000], [2.695, 4.669, 0.000], [2.695, 1.556, 4.402]],
  "species": ["Tb", "Al", "Na", "Pr"],
  "fractional_positions": [[0.250, 0.250, 0.250], [0.500, 0.500, 0.500], [0.000, 0.000, 0.000], [0.750, 0.750, 0.750]]
}

No. 10
{
  "formula": "Na2PrAlTe4",
  "functional": "PBE",
  "state": "relaxed",
  "dft_energy_ev_per_cell": -61.84,
  "formation_energy_uncorrected_mev_per_atom": -899.2,
  "dos_ef_per_ev_atom": 0.08,
  "space_group": "Imma",
  "lattice": [[8.923, -0.038, -0.292], [-0.044, 8.923, -0.292], [-4.570, -4.573, 6.573]],
  "species": ["Na", "Na", "Te", "Na", "Te", "Pr", "Al", "Te", "Al", "Na", "Te", "Te", "Te", "Te", "Pr", "Te"],
  "fractional_positions": [[0.500, 0.000, 0.000], [0.500, 0.000, 0.500], [0.252, 0.248, 0.459], [0.500, 0.500, 0.000], [0.252, 0.248, 0.041], [0.000, 0.500, 0.000], [0.000, 0.000, 0.000], [0.748, 0.752, 0.541], [0.500, 0.500, 0.500], [0.000, 0.000, 0.500], [0.241, 0.765, 0.003], [0.759, 0.235, 0.997], [0.748, 0.752, 0.959], [0.735, 0.259, 0.497], [0.000, 0.500, 0.500], [0.265, 0.741, 0.503]]
}

No. 11
{
  "formula": "NaAl2Pt",
  "functional": "PBE",
  "state": "relaxed",
  "dft_energy_ev_per_cell": -16.82,
  "dos_ef_per_ev_atom": 0.61,
  "space_group": "R-3m",
  "lattice": [[4.307, 0.000, 0.000], [2.154, 3.730, 0.000], [2.154, 1.243, 5.321]],
  "species": ["Pt", "Al", "Na", "Al"],
  "fractional_positions": [[0.000, 0.000, 0.000], [0.699, 0.699, 0.904], [0.500, 0.500, 0.500], [0.301, 0.301, 0.096]]
}

No. 12
{
  "formula": "NaAl2Pt3",
  "functional": "PBE",
  "state": "relaxed",
  "dft_energy_ev_per_cell": -31.53,
  "dos_ef_per_ev_atom": 0.29,
  "space_group": "P6/mmm",
  "lattice": [[-2.108, 0.906, -3.091], [4.629, 2.067, -2.551], [-1.397, -5.462, -0.649]],
  "species": ["Pt", "Pt", "Pt", "Na", "Al", "Al"],
  "fractional_positions": [[0.500, 0.000, 0.500], [0.500, 0.500, 0.500], [0.500, 0.500, 0.000], [0.000, 0.000, 0.000], [0.000, 0.667, 0.333], [0.000, 0.333, 0.667]]
}

No. 13
{
  "formula": "NaAl2Pt",
  "functional": "PBE",
  "state": "relaxed",
  "dft_energy_ev_per_cell": -30.88,
  "dos_ef_per_ev_atom": 0.33,
  "space_group": "I-42d",
  "lattice": [[5.451, 0.000, 0.000], [0.000, 5.451, 0.000], [2.726, 2.726, 7.757]],
  "species": ["Al", "Al", "Pt", "Al", "Al", "Na", "Na", "Pt"],
  "fractional_positions": [[0.875, 0.120, 0.750], [0.375, 0.130, 0.750], [0.000, 0.000, 0.000], [0.870, 0.125, 0.250], [0.880, 0.625, 0.250], [0.250, 0.750, 0.500], [0.500, 0.500, 0.000], [0.750, 0.250, 0.500]]
}

No. 14
{
  "formula": "NaAlPt3",
  "functional": "PBE",
  "state": "relaxed",
  "dft_energy_ev_per_cell": -17.50,
  "dos_ef_per_ev_atom": 0.03,
  "space_group": "Pm-3m",
  "lattice": [[4.562, 0.000, 0.000], [0.000, 4.562, 0.000], [0.000, 0.000, 4.562]],
  "species": ["Pt", "Pt", "Na", "Pt", "Al"],
  "fractional_positions": [[0.500, 0.000, 0.000], [0.000, 0.000, 0.500], [0.000, 0.000, 0.000], [0.000, 0.500, 0.000], [0.500, 0.500, 0.500]]
}

No. 15
{
  "formula": "Na2Al9Pt3",
  "functional": "PBE",
  "state": "relaxed",
  "dft_energy_ev_per_cell": -126.07,
  "dos_ef_per_ev_atom": 0.37,
  "space_group": "C2/c",
  "lattice": [[-7.531, -0.453, 0.620], [4.284, -6.091, 1.359], [4.189, 4.843, 8.416]],
  "species": ["Na", "Al", "Al", "Pt", "Al", "Pt", "Al", "Al", "Al", "Al", "Na", "Na", "Pt", "Al", "Al", "Pt", "Pt", "Al", "Al", "Na", "Al", "Al", "Al", "Pt", "Al", "Al", "Al", "Al"],
  "fractional_positions": [[0.335, 0.248, 0.751], [0.123, 0.873, 0.250], [0.544, 0.189, 0.564], [0.839, 0.169, 0.500], [0.120, 0.143, 0.430], [0.831, 0.661, 0.000], [0.550, 0.359, 0.073], [0.877, 0.127, 0.750], [0.786, 0.310, 0.930], [0.450, 0.641, 0.927], [0.665, 0.752, 0.249], [0.002, 0.416, 0.251], [0.500, 0.500, 0.500], [0.668, 0.709, 0.751], [0.875, 0.020, 0.064], [0.161, 0.831, 0.500], [0.169, 0.339, 0.000], [0.214, 0.523, 0.573], [0.543, 0.083, 0.251], [0.998, 0.584, 0.749], [0.880, 0.857, 0.570], [0.214, 0.690, 0.070], [0.786, 0.477, 0.427], [0.500, 0.000, 0.000], [0.457, 0.917, 0.749], [0.456, 0.811, 0.436], [0.332, 0.291, 0.249], [0.125, 0.980, 0.936]]
}

No. 16
{
  "formula": "Na2AlPt3",
  "functional": "PBE",
  "state": "relaxed",
  "dft_energy_ev_per_cell": -27.91,
  "dos_ef_per_ev_atom": 0.43,
  "space_group": "R-3m",
  "lattice": [[-0.966, -0.649, -5.015], [3.820, -2.137, -2.711], [-0.808, -4.869, -1.465]],
  "species": ["Pt", "Pt", "Pt", "Na", "Al", "Na"],
  "fractional_positions": [[0.000, 0.000, 0.500], [0.000, 0.500, 0.000], [0.500, 0.000, 0.000], [0.620, 0.620, 0.620], [0.000, 0.000, 0.000], [0.380, 0.380, 0.380]]
}

No. 17
{
  "formula": "Na2AlPt",
  "functional": "PBE",
  "state": "relaxed",
  "dft_energy_ev_per_cell": -25.27,
  "dos_ef_per_ev_atom": 0.35,
  "space_group": "I-42d",
  "lattice": [[3.797, 0.000, 0.000], [0.000, 3.797, 0.000], [1.899, 1.899, 10.875]],
  "species": ["Na", "Na", "Al", "Pt", "Na", "Na", "Al", "Pt"],
  "fractional_positions": [[0.114, 0.625, 0.250], [0.875, 0.886, 0.750], [0.250, 0.750, 0.500], [0.000, 0.000, 0.000], [0.636, 0.125, 0.250], [0.375, 0.364, 0.750], [0.500, 0.500, 0.000], [0.750, 0.250, 0.500]]
}

No. 18
{
  "formula": "NaAlPt3",
  "functional": "PBE",
  "state": "relaxed",
  "dft_energy_ev_per_cell": -23.01,
  "dos_ef_per_ev_atom": 0.12,
  "space_group": "Pm-3m",
  "lattice": [[-0.437, 2.955, 3.542], [-4.509, -1.026, 0.300], [0.975, -3.418, 2.972]],
  "species": ["Al", "Pt", "Pt", "Pt", "Na"],
  "fractional_positions": [[0.000, 0.000, 0.000], [0.500, 0.000, 0.000], [0.000, 0.500, 0.000], [0.000, 0.000, 0.500], [0.500, 0.500, 0.500]]
}

No. 19
{
  "formula": "NaAl2SbPt",
  "functional": "PBE",
  "state": "relaxed",
  "dft_energy_ev_per_cell": -12.94,
  "formation_energy_uncorrected_mev_per_atom": 1206.4,
  "dos_ef_per_ev_atom": 0.56,
  "space_group": "P4/mmm",
  "lattice": [[-1.469, -4.237, -1.996], [4.942, -1.665, -0.104], [-0.552, -1.920, 4.483]],
  "species": ["Na", "Sb", "Pt", "Al", "Al"],
  "fractional_positions": [[0.000, 0.000, 0.000], [0.000, 0.500, 0.000], [0.500, 0.500, 0.500], [0.500, 0.000, 0.000], [0.000, 0.000, 0.500]]
}

No. 20
{
  "formula": "Na2AlSi2Pt5",
  "functional": "PBE",
  "state": "relaxed",
  "dft_energy_ev_per_cell": -108.77,
  "formation_energy_uncorrected_mev_per_atom": -695.7,
  "dos_ef_per_ev_atom": 0.25,
  "space_group": "P4/mbm",
  "lattice": [[2.814, 0.000, 0.000], [0.000, 10.821, 0.000], [0.000, 0.000, 10.821]],
  "species": ["Pt", "Pt", "Pt", "Pt", "Si", "Pt", "Pt", "Al", "Si", "Na", "Pt", "Na", "Al", "Pt", "Pt", "Na", "Na", "Si", "Pt", "Si"],
  "fractional_positions": [[0.500, 0.938, 0.196], [0.500, 0.000, 0.500], [0.500, 0.562, 0.696], [0.500, 0.304, 0.562], [0.000, 0.866, 0.366], [0.500, 0.696, 0.438], [0.500, 0.804, 0.938], [0.000, 0.000, 0.000], [0.000, 0.134, 0.634], [0.000, 0.826, 0.674], [0.500, 0.062, 0.804], [0.000, 0.174, 0.326], [0.000, 0.500, 0.500], [0.500, 0.438, 0.304], [0.500, 0.500, 0.000], [0.000, 0.674, 0.174], [0.000, 0.326, 0.826], [0.000, 0.634, 0.866], [0.500, 0.196, 0.062], [0.000, 0.366, 0.134]]
}